Entry 1:
Compound: Dy5In2Rh2
Source: Alexandria
Functional: PBE
Structure: relaxed

Results
- N(E_F) (states/eV/cell) = 14.662
- crystal system = orthorhombic

POSCAR file:
```
Dy5In2Rh2
1.0
-5.509 -2.899 4.182
-2.847 -3.448 -6.142
6.059 -4.855 4.616
Dy In Rh
10 4 4
direct
0.000 0.000 0.000 Dy
0.500 0.500 0.000 Dy
0.833 0.789 0.234 Dy
0.167 0.445 0.234 Dy
0.333 0.945 0.234 Dy
0.667 0.289 0.234 Dy
0.167 0.211 0.766 Dy
0.833 0.555 0.766 Dy
0.667 0.055 0.766 Dy
0.333 0.711 0.766 Dy
0.000 0.221 0.442 In
0.500 0.721 0.442 In
0.000 0.779 0.558 In
0.500 0.279 0.558 In
0.634 0.867 0.000 Rh
0.366 0.133 0.000 Rh
0.134 0.633 0.000 Rh
0.866 0.367 0.000 Rh
```

---

Entry 2:
Compound: YCu2Ge2
Source: Alexandria
Functional: PBE
Structure: relaxed

Results
- N(E_F) (states/eV/cell) = 4.818
- crystal system = tetragonal

POSCAR file:
```
YCu2Ge2
1.0
7.632 0.000 0.000
0.000 7.632 0.000
0.000 0.000 2.960
Y Ge Cu
2 4 4
direct
0.000 0.000 0.000 Y
0.500 0.500 0.000 Y
0.355 0.855 0.000 Ge
0.855 0.645 0.000 Ge
0.645 0.145 0.000 Ge
0.145 0.355 0.000 Ge
0.146 0.646 0.500 Cu
0.646 0.854 0.500 Cu
0.854 0.354 0.500 Cu
0.354 0.146 0.500 Cu
```

---

Number 1: E -5.38 eV per atom. Number 2: E -4.88 eV per atom.